## Sc3Se4 (PBE)

Data for a relaxed structure of Sc3Se4.

spin magnetization	0.0	Bohr magnetons per cell
formation energy without anion corrections	-1.633	eV per atom
ΔE to the lowest computed polymorph	0.087	eV/atom
VASP energy	-133.1	eV for the cell shown

CIF file:
```
data_Sc3Se4
_symmetry_space_group_name_H-M 'R -3 m'
_symmetry_Int_Tables_number 166
_symmetry_space_group_name_Hall '-R 3 2"'
_cell_length_a 3.8628
_cell_length_b 3.8628
_cell_length_c 39.4573
_cell_angle_alpha 90.00
_cell_angle_beta 90.00
_cell_angle_gamma 120.00
loop_
_atom_site_label
_atom_site_type_symbol
_atom_site_fract_x
_atom_site_fract_y
_atom_site_fract_z
_atom_site_occupancy
Sc1 Sc 0.0000 0.0000 0.0000 1
Sc2 Sc 0.0000 0.0000 0.2474 1
Se1 Se 0.0000 0.0000 0.1207 1
Se2 Se 0.0000 0.0000 0.3742 1
```

***

## Ru3Rh2 (PBE)

Data for a relaxed structure of Ru3Rh2.

spin magnetization	0.0	Bohr magnetons per cell
formation energy	3.5	eV per formula unit
ΔE to the lowest computed polymorph	0.647	eV/atom
VASP energy	-39.0	eV for the cell shown

CIF file:
```
data_Ru3Rh2
_symmetry_space_group_name_H-M 'P -3 m 1'
_symmetry_Int_Tables_number 164
_symmetry_space_group_name_Hall '-P 3 2"'
_cell_length_a 4.1709
_cell_length_b 4.1709
_cell_length_c 5.3007
_cell_angle_alpha 90.00
_cell_angle_beta 90.00
_cell_angle_gamma 120.00
loop_
_atom_site_label
_atom_site_type_symbol
_atom_site_fract_x
_atom_site_fract_y
_atom_site_fract_z
_atom_site_occupancy
Ru1 Ru 0.0000 0.0000 0.0000 1
Ru2 Ru 0.3333 0.6667 0.3952 1
Rh1 Rh 0.3333 0.6667 0.8738 1
```

***

## Pu4ThS5 (PBE)

Data for a relaxed structure of Pu4ThS5.

spin magnetization	44.9	Bohr magnetons per cell
formation energy without anion corrections	-1.779	eV per atom
VASP energy	-206.4	eV for the cell shown

CIF file:
```
data_Pu4ThS5
_symmetry_space_group_name_H-M 'C 1 2/m 1'
_symmetry_Int_Tables_number 12
_symmetry_space_group_name_Hall '-C 2y'
_cell_length_a 13.205
_cell_length_b 3.967
_cell_length_c 9.748
_cell_angle_alpha 90.00
_cell_angle_beta 119.59
_cell_angle_gamma 90.00
loop_
_atom_site_label
_atom_site_type_symbol
_atom_site_fract_x
_atom_site_fract_y
_atom_site_fract_z
_atom_site_occupancy
Pu1 Pu 0.099 0.000 0.398 1
Pu2 Pu 0.202 0.500 0.800 1
Th1 Th 0.000 0.500 0.000 1
S1 S 0.000 0.500 0.500 1
S2 S 0.104 0.000 0.897 1
S3 S 0.204 0.500 0.307 1
```

***

## ReSi2Se (PBE)

Data for a relaxed structure of ReSi2Se.

spin magnetization	0.0	Bohr magnetons per cell
formation energy without anion corrections	0.224	eV per atom
VASP energy	-51.8	eV for the cell shown

CIF file:
```
data_ReSi2Se
_symmetry_space_group_name_H-M 'A m m 2'
_symmetry_Int_Tables_number 38
_symmetry_space_group_name_Hall 'A 2 -2'
_cell_length_a 4.430
_cell_length_b 4.243
_cell_length_c 7.708
_cell_angle_alpha 90.00
_cell_angle_beta 90.00
_cell_angle_gamma 90.00
loop_
_atom_site_label
_atom_site_type_symbol
_atom_site_fract_x
_atom_site_fract_y
_atom_site_fract_z
_atom_site_occupancy
Re1 Re 0.000 0.000 0.000 1
Si1 Si 0.000 0.000 0.657 1
Si2 Si 0.500 0.000 0.863 1
Se1 Se 0.500 0.000 0.194 1
```

***

## YOs2Au (PBE)

Data for a relaxed structure of YOs2Au.

spin magnetization	0.0	Bohr magnetons per cell
formation energy	2.5	eV per formula unit
ΔE to the lowest computed polymorph	0.563	eV/atom
VASP energy	-118.7	eV for the cell shown

CIF file:
```
data_YOs2Au
_symmetry_space_group_name_H-M 'F m -3 m'
_symmetry_Int_Tables_number 225
_symmetry_space_group_name_Hall '-F 4 2 3'
_cell_length_a 6.587
_cell_length_b 6.587
_cell_length_c 6.587
_cell_angle_alpha 90.00
_cell_angle_beta 90.00
_cell_angle_gamma 90.00
loop_
_atom_site_label
_atom_site_type_symbol
_atom_site_fract_x
_atom_site_fract_y
_atom_site_fract_z
_atom_site_occupancy
Y1 Y 0.000 0.000 0.000 1
Os1 Os 0.250 0.250 0.250 1
Au1 Au 0.000 0.000 0.500 1
```

***

## Pm2MgHPd6 (PBE)

Data for a relaxed structure of Pm2MgHPd6.

spin magnetization	0.0	Bohr magnetons per cell
VASP energy	-103.8	eV for the cell shown

CIF file:
```
data_Pm2MgHPd6
_symmetry_space_group_name_H-M 'C 1 2/m 1'
_symmetry_Int_Tables_number 12
_symmetry_space_group_name_Hall '-C 2y'
_cell_length_a 10.005
_cell_length_b 5.773
_cell_length_c 7.006
_cell_angle_alpha 90.00
_cell_angle_beta 118.46
_cell_angle_gamma 90.00
loop_
_atom_site_label
_atom_site_type_symbol
_atom_site_fract_x
_atom_site_fract_y
_atom_site_fract_z
_atom_site_occupancy
Pm1 Pm 0.230 0.000 0.192 1
Mg1 Mg 0.000 0.500 0.000 1
H1 H 0.000 0.000 0.500 1
Pd1 Pd 0.021 0.249 0.316 1
Pd2 Pd 0.228 0.000 0.683 1
```

***

## PuNpHgO6 (PBE)

Data for a relaxed structure of PuNpHgO6.

spin magnetization	10.0	Bohr magnetons per cell
formation energy without anion corrections	-2.196	eV per atom
VASP energy	-154.2	eV for the cell shown

CIF file:
```
data_PuNpHgO6
_symmetry_space_group_name_H-M 'P -3 1 c'
_symmetry_Int_Tables_number 163
_symmetry_space_group_name_Hall '-P 3 2c'
_cell_length_a 5.8589
_cell_length_b 5.8589
_cell_length_c 9.4842
_cell_angle_alpha 90.00
_cell_angle_beta 90.00
_cell_angle_gamma 120.00
loop_
_atom_site_label
_atom_site_type_symbol
_atom_site_fract_x
_atom_site_fract_y
_atom_site_fract_z
_atom_site_occupancy
Pu1 Pu 0.3333 0.6667 0.2500 1
Np1 Np 0.3333 0.6667 0.7500 1
Hg1 Hg 0.0000 0.0000 0.0000 1
O1 O 0.0118 0.3682 0.6395 1
```

***

## Pr2HfThAs4 (PBE)

Data for a relaxed structure of Pr2HfThAs4.

spin magnetization	0.0	Bohr magnetons per cell
formation energy	-10.5	eV per formula unit
VASP energy	-56.0	eV for the cell shown

CIF file:
```
data_Pr2HfThAs4
_symmetry_space_group_name_H-M 'P 1 2/m 1'
_symmetry_Int_Tables_number 10
_symmetry_space_group_name_Hall '-P 2y'
_cell_length_a 7.198
_cell_length_b 4.170
_cell_length_c 7.266
_cell_angle_alpha 90.00
_cell_angle_beta 109.31
_cell_angle_gamma 90.00
loop_
_atom_site_label
_atom_site_type_symbol
_atom_site_fract_x
_atom_site_fract_y
_atom_site_fract_z
_atom_site_occupancy
Pr1 Pr 0.000 0.000 0.000 1
Pr2 Pr 0.500 0.500 0.000 1
Hf1 Hf 0.000 0.500 0.500 1
Th1 Th 0.500 0.000 0.500 1
As1 As 0.229 0.000 0.727 1
As2 As 0.240 0.500 0.264 1
```

***

## Ga5Hg3 (PBE)

Data for a relaxed structure of Ga5Hg3.

spin magnetization	0.0	Bohr magnetons per cell
formation energy	0.3	eV per formula unit
VASP energy	-31.5	eV for the cell shown

CIF file:
```
data_Ga5Hg3
_symmetry_space_group_name_H-M 'C m m m'
_symmetry_Int_Tables_number 65
_symmetry_space_group_name_Hall '-C 2 2'
_cell_length_a 4.033
_cell_length_b 4.493
_cell_length_c 19.326
_cell_angle_alpha 90.00
_cell_angle_beta 90.00
_cell_angle_gamma 90.00
loop_
_atom_site_label
_atom_site_type_symbol
_atom_site_fract_x
_atom_site_fract_y
_atom_site_fract_z
_atom_site_occupancy
Ga1 Ga 0.000 0.000 0.000 1
Ga2 Ga 0.000 0.000 0.217 1
Ga3 Ga 0.000 0.500 0.109 1
Hg1 Hg 0.000 0.000 0.500 1
Hg2 Hg 0.000 0.500 0.350 1
```

***

## KCd2 (PBE)

Data for a relaxed structure of KCd2.

spin magnetization	0.0	Bohr magnetons per cell
formation energy	0.0	eV per formula unit
VASP energy	-11.8	eV for the cell shown

CIF file:
```
data_KCd2
_symmetry_space_group_name_H-M 'C 1 m 1'
_symmetry_Int_Tables_number 8
_symmetry_space_group_name_Hall 'C -2y'
_cell_length_a 12.983
_cell_length_b 3.776
_cell_length_c 8.310
_cell_angle_alpha 90.00
_cell_angle_beta 93.95
_cell_angle_gamma 90.00
loop_
_atom_site_label
_atom_site_type_symbol
_atom_site_fract_x
_atom_site_fract_y
_atom_site_fract_z
_atom_site_occupancy
K1 K 0.000 0.000 0.000 1
K2 K 0.243 0.000 0.703 1
Cd1 Cd 0.005 0.500 0.619 1
Cd2 Cd 0.135 0.500 0.339 1
Cd3 Cd 0.275 0.000 0.158 1
Cd4 Cd 0.395 0.500 0.387 1
```

***

## ErCrCuC (PBE)

Data for a relaxed structure of ErCrCuC.

spin magnetization	0.0	Bohr magnetons per cell
formation energy	-0.5	eV per formula unit
VASP energy	-56.1	eV for the cell shown

CIF file:
```
data_ErCrCuC
_symmetry_space_group_name_H-M 'P 4/n m m'
_symmetry_Int_Tables_number 129
_cell_length_a 3.305
_cell_length_b 3.305
_cell_length_c 10.188
_cell_angle_alpha 90.00
_cell_angle_beta 90.00
_cell_angle_gamma 90.00
loop_
_symmetry_equiv_pos_as_xyz
'x,y,z'
'-x,-y,-z'
'-y+1/2,x,z'
'y+1/2,-x,-z'
'-x+1/2,-y+1/2,z'
'x+1/2,y+1/2,-z'
'y,-x+1/2,z'
'-y,x+1/2,-z'
'x+1/2,-y,-z'
'-x+1/2,y,z'
'-y,-x,-z'
'y,x,z'
'-x,y+1/2,-z'
'x,-y+1/2,z'
'y+1/2,x+1/2,-z'
'-y+1/2,-x+1/2,z'
loop_
_atom_site_label
_atom_site_type_symbol
_atom_site_fract_x
_atom_site_fract_y
_atom_site_fract_z
_atom_site_occupancy
Er1 Er 0.250 0.250 0.249 1
Cr1 Cr 0.250 0.750 0.000 1
Cu1 Cu 0.250 0.750 0.500 1
C1 C 0.250 0.250 0.869 1
```

***

## Pr2HoCl (PBE)

Data for a relaxed structure of Pr2HoCl.

spin magnetization	0.0	Bohr magnetons per cell
formation energy without anion corrections	-0.665	eV per atom
VASP energy	-55.9	eV for the cell shown

CIF file:
```
data_Pr2HoCl
_symmetry_space_group_name_H-M 'R -3 m'
_symmetry_Int_Tables_number 166
_symmetry_space_group_name_Hall '-R 3 2"'
_cell_length_a 3.6841
_cell_length_b 3.6841
_cell_length_c 31.2871
_cell_angle_alpha 90.00
_cell_angle_beta 90.00
_cell_angle_gamma 120.00
loop_
_atom_site_label
_atom_site_type_symbol
_atom_site_fract_x
_atom_site_fract_y
_atom_site_fract_z
_atom_site_occupancy
Pr1 Pr 0.0000 0.0000 0.2402 1
Ho1 Ho 0.0000 0.0000 0.0000 1
Cl1 Cl 0.0000 0.0000 0.5000 1
```

***

## ZnRhN3 (PBE)

Data for a relaxed structure of ZnRhN3.

spin magnetization	0.0	Bohr magnetons per cell
formation energy without anion corrections	1.663	eV per atom
VASP energy	-25.3	eV for the cell shown

CIF file:
```
data_ZnRhN3
_symmetry_space_group_name_H-M 'P m -3 m'
_symmetry_Int_Tables_number 221
_symmetry_space_group_name_Hall '-P 4 2 3'
_cell_length_a 3.878
_cell_length_b 3.878
_cell_length_c 3.878
_cell_angle_alpha 90.00
_cell_angle_beta 90.00
_cell_angle_gamma 90.00
loop_
_atom_site_label
_atom_site_type_symbol
_atom_site_fract_x
_atom_site_fract_y
_atom_site_fract_z
_atom_site_occupancy
Zn1 Zn 0.000 0.000 0.000 1
Rh1 Rh 0.500 0.500 0.500 1
N1 N 0.000 0.500 0.500 1
```